1.
## YTaC2Br (PBE)

Data for a relaxed YTaC2Br crystal.

Values from the calculation:
total moment = 0.0000 μB/atom
energy relative to the elements, uncorrected = 2.755 eV/atom
N(E_F) = 4.9 states/eV per cell

Cell: 4.417 5.017 4.417 Å, 90.00 90.00 90.00°
Fractional coordinates of all 5 atoms:
C 0.000 0.000 0.500
C 0.500 0.000 0.000
Br 0.000 0.000 0.000
Ta 0.500 0.500 0.500
Y 0.000 0.500 0.000

***

2.
## Tb7CBr12 (PBE)

Data for a relaxed Tb7CBr12 crystal.

Values from the calculation:
total moment = 0.0200 μB/atom
energy relative to the elements, uncorrected = -1.593 eV/atom
N(E_F) = 12.4 states/eV per cell

Cell: 9.010 9.010 9.010 Å, 107.73 107.73 107.73°
Fractional coordinates of all 20 atoms:
Br 0.469 0.154 0.387
Br 0.613 0.531 0.846
Br 0.774 0.922 0.312
Br 0.922 0.312 0.774
Br 0.312 0.774 0.922
Br 0.387 0.469 0.154
Br 0.688 0.226 0.078
Br 0.078 0.688 0.226
Br 0.531 0.846 0.613
Br 0.154 0.387 0.469
Br 0.846 0.613 0.531
Br 0.226 0.078 0.688
Tb 0.103 0.032 0.302
Tb 0.968 0.698 0.897
Tb 0.897 0.968 0.698
Tb 0.032 0.302 0.103
Tb 0.698 0.897 0.968
Tb 0.302 0.103 0.032
Tb 0.500 0.500 0.500
C 0.000 0.000 0.000

***

3.
## Tb3CBr3 (PBE)

Data for a relaxed Tb3CBr3 crystal.

Values from the calculation:
total moment = 0.0000 μB/atom
energy relative to the elements, uncorrected = -1.315 eV/atom
N(E_F) = 3.0 states/eV per cell

Cell: 3.795 8.309 11.277 Å, 92.28 90.00 90.00°
Fractional coordinates of all 14 atoms:
Tb 0.750 0.087 0.394
Tb 0.250 0.913 0.606
Tb 0.250 0.882 0.170
Tb 0.250 0.309 0.620
Tb 0.750 0.691 0.380
Tb 0.750 0.118 0.830
Br 0.750 0.619 0.632
Br 0.750 0.137 0.124
Br 0.250 0.863 0.876
Br 0.750 0.625 0.127
Br 0.250 0.381 0.368
Br 0.250 0.375 0.873
C 0.250 0.878 0.381
C 0.750 0.122 0.619

***

4.
## TbCBr (PBE)

Data for a relaxed TbCBr crystal.

Values from the calculation:
total moment = 0.0000 μB/atom
energy relative to the elements, uncorrected = -1.081 eV/atom
N(E_F) = 2.1 states/eV per cell

Cell: 4.036 4.036 10.800 Å, 81.85 81.85 56.50°
Fractional coordinates of all 6 atoms:
Tb 0.404 0.404 0.865
Tb 0.596 0.596 0.135
Br 0.793 0.793 0.687
Br 0.207 0.207 0.313
C 0.087 0.087 0.967
C 0.913 0.913 0.033

***

5.
## Tb4C2Br (PBE)

Data for a relaxed Tb4C2Br crystal.

Values from the calculation:
total moment = 0.0001 μB/atom
energy relative to the elements, uncorrected = -0.645 eV/atom
N(E_F) = 4.2 states/eV per cell

Cell: 3.653 3.653 13.642 Å, 82.31 82.31 60.00°
Fractional coordinates of all 7 atoms:
Br 0.000 0.000 0.000
Tb 0.123 0.123 0.630
Tb 0.724 0.724 0.828
Tb 0.276 0.276 0.172
Tb 0.877 0.877 0.370
C 0.421 0.421 0.736
C 0.579 0.579 0.264

***

6.
## TbCBr (PBE)

Data for a relaxed TbCBr crystal.

Values from the calculation:
total moment = 0.0000 μB/atom
energy relative to the elements, uncorrected = -1.081 eV/atom
N(E_F) = 2.2 states/eV per cell

Cell: 3.821 4.036 10.779 Å, 94.26 89.88 118.24°
Fractional coordinates of all 6 atoms:
C 0.575 0.150 0.967
C 0.425 0.850 0.033
Tb 0.855 0.709 0.866
Tb 0.145 0.291 0.134
Br 0.821 0.646 0.310
Br 0.179 0.354 0.690

***

7.
## Tb3C2Br2 (PBE)

Data for a relaxed Tb3C2Br2 crystal.

Values from the calculation:
total moment = 0.0002 μB/atom
energy relative to the elements, uncorrected = -0.739 eV/atom
N(E_F) = 4.7 states/eV per cell

Cell: 3.608 6.284 7.472 Å, 98.67 90.75 104.57°
Fractional coordinates of all 7 atoms:
C 0.634 0.272 0.938
C 0.366 0.728 0.062
Tb 0.000 0.000 0.000
Tb 0.219 0.456 0.796
Tb 0.781 0.544 0.204
Br 0.855 0.758 0.620
Br 0.145 0.242 0.380

***

8.
## TbThCBr (PBE)

Data for a relaxed TbThCBr crystal.

Values from the calculation:
total moment = 0.0000 μB/atom
energy relative to the elements, uncorrected = -0.885 eV/atom
N(E_F) = 1.1 states/eV per cell

Cell: 3.676 3.683 7.863 Å, 89.99 103.46 120.12°
Fractional coordinates of all 4 atoms:
C 0.296 0.546 0.858
Br 0.980 0.388 0.383
Tb 0.513 0.154 0.683
Th 0.088 0.942 0.046

***

9.
## TcCBr2 (PBE)

Data for a relaxed TcCBr2 crystal.

Values from the calculation:
total moment = 0.7162 μB/atom
polymorph energy (0 for the lowest one) = 157.1 kJ/mol of atoms
energy relative to the elements, uncorrected = 1.814 eV/atom
N(E_F) = 3.6 states/eV per cell

Cell: 7.956 7.956 7.956 Å, 27.19 27.19 27.19°
Fractional coordinates of all 4 atoms:
C 0.000 0.000 0.000
Br 0.104 0.104 0.104
Br 0.896 0.896 0.896
Tc 0.500 0.500 0.500

***

10.
## Tc3CBr (PBE)

Data for a relaxed Tc3CBr crystal.

Values from the calculation:
total moment = 0.2116 μB/atom
polymorph energy (0 for the lowest one) = 0.0 kJ/mol of atoms
energy relative to the elements, uncorrected = 0.862 eV/atom
N(E_F) = 4.4 states/eV per cell

Cell: 4.155 4.155 4.155 Å, 90.00 90.00 90.00°
Fractional coordinates of all 5 atoms:
C 0.000 0.000 0.000
Tc 0.500 0.000 0.000
Tc 0.000 0.000 0.500
Tc 0.000 0.500 0.000
Br 0.500 0.500 0.500

***

11.
## TcCBr2 (PBE)

Data for a relaxed TcCBr2 crystal.

Values from the calculation:
total moment = 0.0000 μB/atom
polymorph energy (0 for the lowest one) = 21.7 kJ/mol of atoms
energy relative to the elements, uncorrected = 0.411 eV/atom
N(E_F) = 1.4 states/eV per cell

Cell: 3.229 3.665 8.223 Å, 94.71 98.92 116.43°
Fractional coordinates of all 4 atoms:
Br 0.979 0.081 0.802
Br 0.301 0.305 0.332
C 0.927 0.773 0.067
Tc 0.633 0.180 0.067

***

12.
## TcCBr2 (PBE)

Data for a relaxed TcCBr2 crystal.

Values from the calculation:
total moment = 0.0000 μB/atom
polymorph energy (0 for the lowest one) = 20.0 kJ/mol of atoms
energy relative to the elements, uncorrected = 0.393 eV/atom
N(E_F) = 1.9 states/eV per cell

Cell: 3.409 14.663 4.096 Å, 90.00 90.00 90.00°
Fractional coordinates of all 8 atoms:
Tc 0.500 0.000 0.782
Tc 0.000 0.500 0.282
Br 0.000 0.130 0.703
Br 0.500 0.630 0.203
Br 0.500 0.370 0.203
Br 0.000 0.870 0.703
C 0.000 0.500 0.704
C 0.500 0.000 0.204

***

13.
## TcCBr2 (PBE)

Data for a relaxed TcCBr2 crystal.

Values from the calculation:
total moment = 0.0000 μB/atom
polymorph energy (0 for the lowest one) = 11.6 kJ/mol of atoms
energy relative to the elements, uncorrected = 0.306 eV/atom
N(E_F) = 4.7 states/eV per cell

Cell: 8.548 3.421 5.918 Å, 90.00 101.49 90.00°
Fractional coordinates of all 8 atoms:
C 0.926 0.000 0.290
C 0.926 0.500 0.790
Br 0.199 0.500 0.535
Br 0.655 0.500 0.046
Br 0.655 0.000 0.546
Br 0.199 0.000 0.035
Tc 0.953 0.500 0.132
Tc 0.953 0.000 0.632

***

14.
## TcCBr2 (PBE)

Data for a relaxed TcCBr2 crystal.

Values from the calculation:
total moment = 0.0592 μB/atom
polymorph energy (0 for the lowest one) = 14.6 kJ/mol of atoms
energy relative to the elements, uncorrected = 0.337 eV/atom
N(E_F) = 3.5 states/eV per cell

Cell: 3.599 8.140 9.319 Å, 72.07 78.99 77.79°
Fractional coordinates of all 8 atoms:
Br 0.901 0.394 0.132
Br 0.384 0.778 0.764
Br 0.148 0.767 0.230
Br 0.660 0.272 0.738
Tc 0.286 0.090 0.658
Tc 0.907 0.146 0.359
C 0.027 0.960 0.295
C 0.371 0.122 0.455

***

15.
## TcCBr2 (PBE)

Data for a relaxed TcCBr2 crystal.

Values from the calculation:
total moment = 0.0000 μB/atom
polymorph energy (0 for the lowest one) = 1.5 kJ/mol of atoms
energy relative to the elements, uncorrected = 0.201 eV/atom

Cell: 3.635 6.669 8.746 Å, 106.43 92.12 99.03°
Fractional coordinates of all 8 atoms:
Tc 0.438 0.525 0.821
Tc 0.683 0.296 0.921
C 0.755 0.627 0.059
C 0.015 0.598 0.956
Br 0.591 0.911 0.748
Br 0.685 0.787 0.263
Br 0.237 0.215 0.114
Br 0.912 0.412 0.588

***

16.
## TcCBr2 (PBE)

Data for a relaxed TcCBr2 crystal.

Values from the calculation:
total moment = 0.0000 μB/atom
polymorph energy (0 for the lowest one) = 1.7 kJ/mol of atoms
energy relative to the elements, uncorrected = 0.203 eV/atom

Cell: 4.298 5.884 9.018 Å, 102.93 91.36 98.27°
Fractional coordinates of all 8 atoms:
C 0.000 0.584 0.968
C 0.754 0.652 0.059
Tc 0.415 0.677 0.907
Tc 0.626 0.338 0.866
Br 0.405 0.911 0.699
Br 0.451 0.125 0.074
Br 0.878 0.366 0.623
Br 0.787 0.717 0.275

***

17.
## TcCBr2 (PBE)

Data for a relaxed TcCBr2 crystal.

Values from the calculation:
total moment = 0.0000 μB/atom
polymorph energy (0 for the lowest one) = 171.1 kJ/mol of atoms
energy relative to the elements, uncorrected = 1.958 eV/atom
N(E_F) = 2.4 states/eV per cell

Cell: 4.478 4.478 4.478 Å, 60.00 60.00 60.00°
Fractional coordinates of all 4 atoms:
Br 0.750 0.750 0.750
Br 0.250 0.250 0.250
Tc 0.500 0.500 0.500
C 0.000 0.000 0.000

***

18.
## TcCBr2 (PBE)

Data for a relaxed TcCBr2 crystal.

Values from the calculation:
total moment = 0.1167 μB/atom
polymorph energy (0 for the lowest one) = 166.4 kJ/mol of atoms
energy relative to the elements, uncorrected = 1.910 eV/atom
N(E_F) = 4.4 states/eV per cell

Cell: 8.175 8.175 8.175 Å, 22.74 22.74 22.74°
Fractional coordinates of all 4 atoms:
C 0.500 0.500 0.500
Tc 0.000 0.000 0.000
Br 0.101 0.101 0.101
Br 0.899 0.899 0.899

***

19.
## TcCBr2 (PBE)

Data for a relaxed TcCBr2 crystal.

Values from the calculation:
total moment = 0.0000 μB/atom
polymorph energy (0 for the lowest one) = 171.4 kJ/mol of atoms
energy relative to the elements, uncorrected = 1.962 eV/atom
N(E_F) = 7.6 states/eV per cell

Cell: 6.139 6.139 6.163 Å, 60.13 60.13 90.00°
Fractional coordinates of all 8 atoms:
Tc 0.000 0.000 0.000
Tc 0.750 0.250 0.500
C 0.500 0.500 0.000
C 0.250 0.750 0.500
Br 0.875 0.873 0.750
Br 0.375 0.377 0.750
Br 0.623 0.125 0.250
Br 0.127 0.625 0.250

***

20.
## TcCBr2 (PBE)

Data for a relaxed TcCBr2 crystal.

Values from the calculation:
total moment = 0.0000 μB/atom
polymorph energy (0 for the lowest one) = 0.0 kJ/mol of atoms
energy relative to the elements, uncorrected = 0.186 eV/atom
N(E_F) = 1.9 states/eV per cell

Cell: 3.416 3.417 9.068 Å, 79.99 79.46 60.01°
Fractional coordinates of all 4 atoms:
C 0.701 0.174 0.067
Tc 0.034 0.508 0.067
Br 0.939 0.426 0.345
Br 0.129 0.588 0.789